Record 1
{"formula": "Tm5FeTe2", "functional": "PBE", "state": "optimized geometry", "dft_energy_ev_per_atom": -4.941, "space_group": "No. 63", "cell": [[5.440, 0.000, 0.000], [-2.720, 7.855, 0.000], [0.000, 0.000, 13.197]], "species": ["Tm", "Tm", "Tm", "Tm", "Tm", "Tm", "Tm", "Tm", "Tm", "Tm", "Fe", "Fe", "Te", "Te", "Te", "Te"], "fractional_positions": [[0.950, 0.900, 0.888], [0.950, 0.900, 0.612], [0.266, 0.531, 0.390], [0.266, 0.531, 0.110], [0.673, 0.346, 0.250], [0.327, 0.654, 0.750], [0.734, 0.469, 0.610], [0.734, 0.469, 0.890], [0.050, 0.100, 0.112], [0.050, 0.100, 0.388], [0.848, 0.695, 0.750], [0.152, 0.305, 0.250], [0.843, 0.687, 0.408], [0.843, 0.687, 0.092], [0.157, 0.313, 0.592], [0.157, 0.313, 0.908]]}

Record 2
{"formula": "CaSc2Rh", "functional": "PBE", "state": "optimized geometry", "polymorph_energy_ev_per_atom": 0.342, "dft_energy_ev_per_atom": -5.555, "space_group": "No. 119", "e_form_mev_per_atom": -51, "cell": [[5.766, 0.008, 0.000], [2.734, 5.076, 0.000], [-4.250, -2.542, 2.953]], "species": ["Sc", "Sc", "Ca", "Rh"], "fractional_positions": [[0.000, 0.000, 0.000], [0.250, 0.750, 0.500], [0.500, 0.500, 0.000], [0.750, 0.250, 0.500]]}

Record 3
{"formula": "WAu2", "functional": "PBE", "state": "optimized geometry", "dft_energy_ev_per_atom": -6.157, "space_group": "No. 141", "e_form_mev_per_atom": 346, "cell": [[-3.402, 7.359, 10.942], [-6.447, 8.343, 8.619], [3.891, -9.381, -9.073]], "species": ["W", "W", "Au", "Au", "Au", "Au"], "fractional_positions": [[0.000, 0.000, 0.000], [0.750, 0.250, 0.500], [0.328, 0.828, 0.500], [0.172, 0.672, 0.500], [0.578, 0.578, 0.000], [0.422, 0.422, 0.000]]}

Record 4
{"formula": "SmEr3Pd", "functional": "PBE", "state": "optimized geometry", "polymorph_energy_ev_per_atom": 0.000, "dft_energy_ev_per_atom": -4.999, "space_group": "No. 12", "e_form_mev_per_atom": -279, "cell": [[7.542, -0.455, -0.302], [-2.501, 7.129, 0.302], [-3.065, -2.926, 5.720]], "species": ["Sm", "Sm", "Er", "Er", "Er", "Er", "Er", "Er", "Pd", "Pd"], "fractional_positions": [[0.733, 0.042, 0.775], [0.267, 0.958, 0.225], [0.833, 0.098, 0.334], [0.235, 0.501, 0.334], [0.765, 0.499, 0.666], [0.699, 0.426, 0.124], [0.167, 0.902, 0.666], [0.301, 0.574, 0.876], [0.652, 0.725, 0.377], [0.348, 0.275, 0.623]]}

Record 5
{"formula": "SrSc2Fe", "functional": "PBE", "state": "optimized geometry", "polymorph_energy_ev_per_atom": 0.131, "dft_energy_ev_per_atom": -5.474, "space_group": "No. 99", "e_form_mev_per_atom": 228, "cell": [[3.599, 0.000, 0.000], [0.000, 3.600, 0.000], [0.000, 0.000, 7.964]], "species": ["Fe", "Sc", "Sc", "Sr"], "fractional_positions": [[0.500, 0.500, 0.838], [0.000, 0.000, 0.944], [0.500, 0.500, 0.178], [0.000, 0.000, 0.540]]}

Record 6
{"formula": "ZrNb2HPb", "functional": "PBE", "state": "optimized geometry", "dft_energy_ev_per_atom": -7.244, "space_group": "No. 123", "cell": [[-2.874, -0.338, -3.114], [1.226, -4.010, -0.696], [-3.126, -1.484, 3.047]], "species": ["Pb", "H", "Nb", "Nb", "Zr"], "fractional_positions": [[0.500, 0.500, 0.500], [0.000, 0.000, 0.000], [0.000, 0.500, 0.000], [0.500, 0.000, 0.000], [0.000, 0.000, 0.500]]}